1.
DFT (PBE) results for a relaxed structure of SmNpP2.

Geometry as POSCAR:
```
SmNpP2
1.0
3.988 0.000 0.000
1.994 3.453 0.000
1.994 1.151 6.861
P Np Sm
2 1 1
Cartesian
1.994 1.151 5.247
1.994 1.151 1.605
5.981 3.453 6.808
3.988 2.302 3.492
```

Calculated values
Volume, Å³ per cell: 94.5
Energy of formation, eV/atom: -1.05

2.
DFT (PBE) results for a relaxed structure of SmNp2P3.

Geometry as POSCAR:
```
SmNp2P3
1.0
-0.302 6.929 -0.132
0.767 -2.405 -6.461
-12.168 -2.806 2.081
P Np Sm
12 8 4
Cartesian
0.121 1.177 -1.715
-8.021 -1.513 0.781
-6.230 2.107 0.908
-1.447 -0.095 -5.079
-9.730 -2.768 -2.538
0.344 3.347 -4.877
-7.803 0.791 -2.392
-10.251 1.857 0.504
-6.007 4.277 -2.254
-1.977 4.441 -1.909
-3.909 1.013 -2.061
-3.671 3.144 -5.351
-1.782 2.170 -3.501
-4.104 3.284 -0.468
-11.526 -1.745 -4.443
-5.761 1.989 -3.907
0.358 -1.203 -3.233
-5.942 -0.271 -0.605
-8.133 3.100 -0.879
-9.921 -0.452 -1.010
-9.718 1.808 -4.309
-7.569 -1.565 -4.040
-3.599 -1.384 -3.636
-1.985 -0.090 -0.202
```

Calculated values
Volume, Å³ per cell: 544.8
Energy of formation, eV/atom: -1.10

3.
DFT (PBE) results for a relaxed structure of Sm2NpP3.

Geometry as POSCAR:
```
Sm2NpP3
1.0
-2.029 2.029 8.590
2.029 -2.029 8.590
2.029 2.029 -8.590
P Sm Np
3 2 1
Cartesian
0.000 0.000 2.800
0.000 0.000 14.380
0.000 0.000 8.590
0.000 0.000 5.710
0.000 0.000 11.469
0.000 0.000 0.000
```

Calculated values
Volume, Å³ per cell: 141.5
Energy of formation, eV/atom: -1.32

4.
DFT (PBE) results for a relaxed structure of SmNp3P4.

Geometry as POSCAR:
```
SmNp3P4
1.0
3.987 -0.050 0.067
0.051 6.645 1.934
-0.112 0.379 6.909
P Np Sm
4 3 1
Cartesian
3.943 5.276 6.654
3.970 1.650 2.324
1.922 1.893 5.662
2.003 5.083 3.248
3.875 0.330 6.976
1.938 0.166 3.488
3.956 3.463 4.489
1.907 3.678 7.910
```

Calculated values
Volume, Å³ per cell: 180.2
Energy of formation, eV/atom: -1.04

Question: Which value of volume does entry 1 give?
Answer: 94.5 Å³ per cell

Question: energy of formation of number 4 (SmNp3P4)?
Answer: -1.04 eV/atom